[1]
DFT (GGA-PBE) results for an optimized crystal structure of UGePb.

abc: 4.9900 4.9900 4.9900
angles: 60.00 60.00 60.00
Atoms (fractional coordinates):
U: 0.0000 0.0000 0.0000
Ge: 0.2500 0.2500 0.2500
Pb: 0.7500 0.7500 0.7500

## Properties
As for the total energy: -6.046 eV per atom.

=====

[2]
DFT (GGA-PBE) results for an optimized crystal structure of RbScFeSe3.

abc: 8.7518 8.7518 8.8895
angles: 100.89 100.89 26.81
Atoms (fractional coordinates):
Rb: 0.1525 0.1525 0.0624
Rb: 0.8475 0.8475 0.9376
Sc: 0.1675 0.1675 0.5715
Sc: 0.8325 0.8325 0.4285
Fe: 0.4964 0.4964 0.2789
Fe: 0.5036 0.5036 0.7211
Se: 0.0000 0.0000 0.5000
Se: 0.3324 0.3324 0.6347
Se: 0.3456 0.3456 0.2365
Se: 0.5000 0.5000 0.0000
Se: 0.6544 0.6544 0.7635
Se: 0.6676 0.6676 0.3653

## Properties
As for the total energy: -5.287 eV per atom.

=====

[3]
DFT (GGA-PBE) results for an optimized crystal structure of Gd2Tl2O5.

abc: 4.3181 4.3181 7.0737
angles: 90.00 90.00 90.00
Atoms (fractional coordinates):
Gd: 0.0000 0.0000 0.0000
Gd: 0.0000 0.0000 0.5000
Tl: 0.5000 0.5000 0.1930
Tl: 0.5000 0.5000 0.8070
O: 0.0000 0.5000 0.2465
O: 0.0000 0.5000 0.7535
O: 0.5000 0.0000 0.2465
O: 0.5000 0.0000 0.7535
O: 0.5000 0.5000 0.5000

## Properties
As for the total energy: -5.666 eV per atom.

=====

[4]
DFT (GGA-PBE) results for an optimized crystal structure of Hf2Co2Au.

abc: 7.0190 7.0190 3.2284
angles: 90.00 90.00 90.00
Atoms (fractional coordinates):
Hf: 0.1660 0.3340 0.0000
Hf: 0.3340 0.8340 0.0000
Hf: 0.6660 0.1660 0.0000
Hf: 0.8340 0.6660 0.0000
Co: 0.1312 0.6312 0.5000
Co: 0.3688 0.1312 0.5000
Co: 0.6312 0.8688 0.5000
Co: 0.8688 0.3688 0.5000
Au: 0.0000 0.0000 0.5000
Au: 0.5000 0.5000 0.5000

## Properties
The energy of formation is -450 meV/atom. As for the total energy: -7.928 eV per atom.